# 1
Ce2SiNi, optimized geometry, DFT GGA-PBE; ΔE_f (raw) = -0.51 eV per atom; excess energy over the best structure of this formula in the dataset = 0.043 eV per atom; space group = P2_1/m (11)
1.0
5.1299 0.0000 0.0000
0.0000 4.0909 0.0000
-1.1773 0.0000 7.8079
Ce Si Ni
4 2 2
Direct
0.1755 0.2500 0.4544
0.1805 0.2500 0.9599
0.8195 0.7500 0.0401
0.8245 0.7500 0.5456
0.3769 0.7500 0.7369
0.6231 0.2500 0.2631
0.3858 0.7500 0.2309
0.6142 0.2500 0.7691

# 2
CeSi3Ni, optimized geometry, DFT GGA-PBE; ΔE_f (raw) = -0.29 eV per atom; space group = Cmcm (63)
1.0
2.2030 -6.9822 0.0000
2.2030 6.9822 0.0000
0.0000 0.0000 5.4910
Ce Si Ni
2 6 2
Direct
0.0919 0.9081 0.7500
0.9081 0.0919 0.2500
0.1257 0.8743 0.2500
0.2893 0.7107 0.0003
0.2893 0.7107 0.4997
0.7107 0.2893 0.9997
0.7107 0.2893 0.5003
0.8743 0.1257 0.7500
0.4268 0.5732 0.7500
0.5732 0.4268 0.2500

# 3
Ce2Si5Ni17, optimized geometry, DFT GGA-PBE; ΔE_f (raw) = -0.47 eV per atom; space group = I-4m2 (119)
1.0
-4.9143 4.9143 3.1060
4.9143 -4.9143 3.1060
4.9143 4.9143 -3.1060
Ce Si Ni
2 5 17
Direct
0.0000 0.0000 0.0000
0.7500 0.2500 0.5000
0.3623 0.6273 0.7350
0.3727 0.1076 0.7350
0.3727 0.6377 0.2650
0.5000 0.5000 0.0000
0.8924 0.6273 0.2650
0.1206 0.1936 0.6809
0.1206 0.4397 0.9270
0.1808 0.3521 0.4193
0.1808 0.7615 0.8287
0.2385 0.0672 0.4193
0.2385 0.8192 0.1713
0.2500 0.7500 0.5000
0.5127 0.1936 0.0730
0.5127 0.4397 0.3191
0.5603 0.4873 0.6809
0.5603 0.8794 0.0730
0.6479 0.0672 0.8287
0.6479 0.8192 0.5807
0.8064 0.4873 0.9270
0.8064 0.8794 0.3191
0.9328 0.3521 0.1713
0.9328 0.7615 0.5807

no.,DOS(E_F) (states/eV/f.u.)
1,6.6
2,4.8
3,18.8